CrGa2SiO6 after structural relaxation. Source: Alexandria, functional GGA+U.

Properties
The calculation puts the total energy at -137.49 eV per cell. The density of states at the Fermi level is 0.00 states/eV/f.u.

Lattice parameters (Å, degrees): 5.4884 7.1024 7.1024 100.26 73.91 73.91
With the nearest neighbours (Å) after each atom.
Fractional positions:
O 0.3266 0.2066 0.0283  1 Si 1.68
O 0.5394 0.1545 0.6472  1 Si 1.63
O 0.9606 0.3528 0.8455  1 Si 1.63
O 0.9957 0.3091 0.4397  2 Ga 1.86
O 0.0394 0.6472 0.1545  1 Si 1.63
O 0.4957 0.4397 0.3091  2 Ga 1.86
O 0.4606 0.8455 0.3528  1 Si 1.63
O 0.8266 0.0283 0.2066  1 Si 1.68
O 0.5043 0.5603 0.6909  2 Ga 1.86
O 0.1734 0.9717 0.7934  1 Si 1.68
O 0.0043 0.6909 0.5603  2 Ga 1.86
O 0.6734 0.7934 0.9717  1 Si 1.68
Ga 0.3349 0.7182 0.5506  4 O 1.86-2.04
Ga 0.6651 0.2818 0.4494  4 O 1.86-2.04
Ga 0.1651 0.4494 0.2818  4 O 1.86-2.04
Ga 0.8349 0.5506 0.7182  4 O 1.86-2.04
Si 0.7500 0.8143 0.1857  4 O 1.63-1.68
Si 0.2500 0.1857 0.8143  4 O 1.63-1.68
Cr 0.7500 0.0959 0.9041  2 O 2.10
Cr 0.2500 0.9041 0.0959  2 O 2.10